First-principles (GGA-PBE) data for a relaxed Be4Si2O9 crystal, as listed in Alexandria.

a b c (Å): 9.100 9.100 4.653
angles (deg): 90.00 90.00 122.81
Each line ends with the local moment (μB).
Positions (direct):
Be (0.466, 0.897, 0.122)  -0.01
Be (0.867, 0.774, 0.623)  -0.01
Be (0.226, 0.133, 0.623)  -0.01
Be (0.133, 0.226, 0.123)  -0.01
Be (0.103, 0.534, 0.122)  -0.01
Be (0.534, 0.103, 0.622)  -0.01
Be (0.897, 0.466, 0.622)  -0.01
Be (0.774, 0.867, 0.123)  -0.01
O (0.055, 0.945, 0.558)  0.70
O (0.277, 0.723, 0.057)  0.66
O (0.604, 0.854, 0.966)  0.07
O (0.184, 0.268, 0.466)  0.04
O (0.396, 0.146, 0.466)  0.07
O (0.268, 0.184, 0.966)  0.04
O (0.732, 0.816, 0.466)  0.04
O (0.146, 0.396, 0.966)  0.07
O (0.066, 0.481, 0.467)  0.03
O (0.723, 0.277, 0.557)  0.66
O (0.945, 0.055, 0.058)  0.70
O (0.481, 0.066, 0.967)  0.03
O (0.519, 0.934, 0.467)  0.03
O (0.854, 0.604, 0.466)  0.07
O (0.816, 0.732, 0.966)  0.04
O (0.934, 0.519, 0.967)  0.03
O (0.402, 0.598, 0.583)  0.02
O (0.598, 0.402, 0.083)  0.02
Si (0.800, 0.563, 0.124)  0.00
Si (0.563, 0.800, 0.624)  0.00
Si (0.200, 0.437, 0.624)  0.00
Si (0.437, 0.200, 0.124)  0.00

Calculated values
spin magnetization	4.00	Bohr magnetons per cell
E_tot	-106.6	eV/f.u.
energy above the most stable polymorph in this dataset	0.0	meV/atom
ρ	2.4	g/cm3



First-principles (GGA-PBE) data for a relaxed GdTm2Te crystal, as listed in Alexandria.

a b c (Å): 3.778 3.778 10.863
angles (deg): 79.99 79.99 60.00
Each line ends with the local moment (μB).
Positions (direct):
Tm (0.102, 0.102, 0.695)  0.17
Tm (0.898, 0.898, 0.305)  0.17
Gd (0.000, 0.000, 0.000)  7.55
Te (0.500, 0.500, 0.500)  0.00

Calculated values
spin magnetization	8.55	Bohr magnetons per cell
E_tot	-27.0	eV/f.u.
energy above the most stable polymorph in this dataset	312.7	meV/atom
ρ	7.9	g/cm3



First-principles (GGA-PBE) data for a relaxed LaTmHgPt crystal, as listed in Alexandria.

a b c (Å): 5.200 5.200 5.200
angles (deg): 60.00 60.00 60.00
Positions (direct):
La (0.750, 0.750, 0.750)
Tm (0.250, 0.250, 0.250)
Pt (0.500, 0.500, 0.500)
Hg (0.000, 0.000, 0.000)

Calculated values
spin magnetization	0.00	Bohr magnetons per cell
E_tot	-18.8	eV/f.u.
ρ	11.8	g/cm3



Question: E_tot of number 3 (LaTmHgPt)?
Answer: -18.8 eV/f.u.